1.
CaY3Au2: optimized geometry, GGA-PBE.

a = 4.965 Å, b = 8.959 Å, c = 7.348 Å
α = 90.00°, β = 90.00°, γ = 90.00°
Space group Pmc2_1 (No. 26)
Asymmetric unit:
1 Ca 0.000 0.075 0.000 x2
2 Y 0.000 0.329 0.629 x2
3 Y 0.500 0.175 0.332 x2
4 Y 0.500 0.427 0.963 x2
5 Au 0.000 0.356 0.232 x2
6 Au 0.500 0.152 0.728 x2

## Properties
- Magnetization: 0.0 Bohr magnetons per cell
- DFT total energy: -5.2861 eV per atom
- DFT formation energy: -628 meV/atom
- Fermi-level density of states: 11.52 states/eV per cell



2.
CaYAu2: optimized geometry, GGA-PBE.

a = 7.032 Å, b = 7.032 Å, c = 7.032 Å
α = 90.00°, β = 90.00°, γ = 90.00°
Space group F-43m (No. 216)
Asymmetric unit:
1 Ca 0.000 0.000 0.000 x4
2 Y 0.250 0.250 0.250 x4
3 Au 0.000 0.000 0.500 x4
4 Au 0.250 0.250 0.750 x4

## Properties
- Magnetization: 0.0 Bohr magnetons per cell
- DFT total energy: -4.2597 eV per atom
- DFT formation energy: -505 meV/atom
- Fermi-level density of states: 14.27 states/eV per cell